This record from the Alexandria database describes crystalline Tb4Pm2SmHo at its relaxed geometry. The functional is GGA-PBE.

The electronic total energy is -4.249 eV/atom. The density of states at the Fermi level is 18.22 states/eV/f.u. Its energy of formation is 3.3 eV per formula unit.

Lattice parameters (Å, degrees): 13.6767 13.3018 6.8416 90.00 120.01 90.00
Closest atoms and distances in Å follow each position.
Space group C2/c (No. 15)
Inequivalent atoms, fractional coordinates:
Tb  0.9999  0.2463  0.0002 x8  1 Ho 3.28, 3 Pm 3.37-3.42, 2 Tb 3.42, 2 Sm 3.42
Tb  0.2468  0.0002  0.4960 x8  1 Sm 3.32, 3 Pm 3.33-3.45, 2 Ho 3.38-3.39, 2 Tb 3.42
Pm  0.0000  0.5000  0.0000 x4  6 Tb 3.37-3.45, 2 Pm 3.42
Pm  0.2500  0.2500  0.0000 x4  6 Tb 3.33-3.42, 2 Sm 3.42
Sm  0.2500  0.2500  0.5000 x4  6 Tb 3.32-3.42, 2 Pm 3.42
Ho  0.0000  0.0000  0.0000 x4  6 Tb 3.28-3.39, 2 Ho 3.42


This record from the Alexandria database describes crystalline Tb2Pm2Sm4Ho at its relaxed geometry. The functional is GGA-PBE.

The electronic total energy is -4.685 eV/atom. The density of states at the Fermi level is 11.41 states/eV/f.u. Its energy of formation is 0.1 eV per formula unit.

Lattice parameters (Å, degrees): 18.8639 3.6398 9.6743 90.00 115.65 90.00
Closest atoms and distances in Å follow each position.
Space group C2/m (No. 12)
Inequivalent atoms, fractional coordinates:
Tb  0.1477  0.0000  0.1665 x4  3 Pm 3.58-3.61, 7 Sm 3.59-3.63, 2 Tb 3.64
Pm  0.1658  0.5000  0.4986 x4  3 Sm 3.57-3.59, 3 Tb 3.58-3.61, 2 Ho 3.62, 4 Pm 3.64-3.65
Sm  0.0185  0.5000  0.8330 x4  1 Pm 3.57, 2 Ho 3.58, 4 Tb 3.59-3.63, 5 Sm 3.59-3.64
Sm  0.1856  0.0000  0.8331 x4  6 Sm 3.59-3.64, 1 Ho 3.59, 2 Pm 3.59, 3 Tb 3.59-3.63
Ho  0.0000  0.0000  0.5000 x2  6 Sm 3.58-3.59, 4 Pm 3.62, 2 Ho 3.64